# 1
# Y3HoSb4

Y3HoSb4 after structural relaxation (PBE, the Alexandria database).

Cell lengths 6.1973, 6.1973, 6.1973 Å; angles 90.00, 90.00, 90.00 degrees
With the nearest neighbours (Å) after each atom.
Space group Pm-3m (No. 221)
Unique sites:
Y (0.0000, 0.0000, 0.5000) (multiplicity 3)  6 Sb 3.10
Ho (0.5000, 0.5000, 0.5000) (multiplicity 1)  6 Sb 3.10
Sb (0.0000, 0.0000, 0.0000) (multiplicity 1)  6 Y 3.10
Sb (0.0000, 0.5000, 0.5000) (multiplicity 3)  2 Ho 3.10, 4 Y 3.10

Total DFT energy (no corrections) ... -6.22 eV per atom
Crystal system ... cubic

***

# 2
# Y3Ho5Sb8

Y3Ho5Sb8 after structural relaxation (PBE, the Alexandria database).

Cell lengths 8.7566, 8.7566, 21.4486 Å; angles 90.00, 90.00, 120.00 degrees
With the nearest neighbours (Å) after each atom.
Space group R-3m (No. 166, hexagonal axes)
Unique sites:
Y (0.0000, 0.5000, 0.0000) (multiplicity 9)  6 Sb 3.10
Ho (0.0000, 0.0000, 0.0000) (multiplicity 3)  6 Sb 3.10
Ho (0.0000, 0.0000, 0.5000) (multiplicity 3)  6 Sb 3.10
Ho (0.0000, 0.5000, 0.5000) (multiplicity 9)  6 Sb 3.09
Sb (0.0000, 0.0000, 0.2494) (multiplicity 6)  3 Ho 3.09, 3 Y 3.10
Sb (0.0007, 0.5004, 0.7504) (multiplicity 18)  4 Ho 3.09-3.10, 2 Y 3.10

Total DFT energy (no corrections) ... -5.84 eV per atom
Crystal system ... trigonal

***

# 3
# Y2Ho5Sb5

Y2Ho5Sb5 after structural relaxation (PBE, the Alexandria database).

Cell lengths 14.1243, 4.3295, 12.5434 Å; angles 90.00, 109.04, 90.00 degrees
With the nearest neighbours (Å) after each atom.
Space group C2/m (No. 12)
Unique sites:
Y (0.0433, 0.0000, 0.2841) (multiplicity 4)  4 Sb 2.95-3.05
Ho (0.0000, 0.5000, 0.0000) (multiplicity 2)  4 Sb 3.03
Ho (0.1596, 0.5000, 0.5361) (multiplicity 4)  5 Sb 3.05-3.27
Ho (0.2215, 0.5000, 0.8429) (multiplicity 4)  5 Sb 2.96-3.19
Sb (0.0000, 0.0000, 0.5000) (multiplicity 2)  2 Y 2.96, 4 Ho 3.05
Sb (0.1201, 0.0000, 0.9342) (multiplicity 4)  1 Y 2.95, 5 Ho 2.96-3.03
Sb (0.1983, 0.5000, 0.2933) (multiplicity 4)  2 Y 3.05, 5 Ho 3.19-3.27

Total DFT energy (no corrections) ... -5.54 eV per atom
Crystal system ... monoclinic

***

# 4
# YHo8Sb6

YHo8Sb6 after structural relaxation (PBE, the Alexandria database).

Cell lengths 7.4725, 7.4725, 29.1196 Å; angles 90.00, 90.00, 120.00 degrees
With the nearest neighbours (Å) after each atom.
Space group R-3 (No. 148, hexagonal axes)
Unique sites:
Y (0.0000, 0.0000, 0.0000) (multiplicity 3)  6 Sb 3.08
Ho (0.0000, 0.0000, 0.3334) (multiplicity 6)  6 Sb 3.07
Ho (0.0003, 0.3323, 0.1195) (multiplicity 18)  3 Sb 3.01
Sb (0.0002, 0.3347, 0.9383) (multiplicity 18)  5 Ho 3.01-3.07, 1 Y 3.08

Total DFT energy (no corrections) ... -5.27 eV per atom
Crystal system ... trigonal

***

total DFT energy (no corrections) of number 1 (Y3HoSb4)?
-6.22 eV per atom

***

The lowest total DFT energy (no corrections) belongs to which entry?
Y3HoSb4